Entry from Alexandria: a relaxed Cd2BiAsO6 crystal (PBE-GGA).

Lattice parameters (Å, degrees): 8.8494 12.2526 5.5176 90.00 90.00 90.00
With the nearest neighbours (Å) after each atom.
Space group Cmc2_1 (No. 36)
Asymmetric unit:
1 Cd 0.1979 0.1046 0.0000 x8  5 O 2.27-2.48
2 Bi 0.0000 0.4067 0.0108 x4  4 O 2.24-2.27
3 As 0.0000 0.1857 0.4550 x4  4 O 1.73-1.74
4 O 0.0000 0.0611 0.3033 x4  1 As 1.74
5 O 0.0000 0.1786 0.7698 x4  1 As 1.74
6 O 0.1544 0.4968 0.7494 x8  2 Bi 2.24-2.27, 2 Cd 2.27-2.32
7 O 0.1598 0.2499 0.3461 x8  1 As 1.73

Values from the calculation:
Its volume is 14.96 Å³/atom. The value obtained for the uncorrected formation energy is -1.24 eV per atom.

Entry from Alexandria: a relaxed CdBi2As2Pd7 crystal (PBE-GGA).

Lattice parameters (Å, degrees): 5.7650 5.7262 14.1373 90.00 97.30 90.00
With the nearest neighbours (Å) after each atom.
Space group C2/m (No. 12)
Asymmetric unit:
1 Cd 0.0000 0.0000 0.0000 x2  12 Pd 2.86-2.89
2 Bi 0.1242 0.0000 0.3853 x4  5 Pd 2.79-3.01
3 As 0.0768 0.5000 0.2475 x4  5 Pd 2.48-2.53
4 Pd 0.0000 0.5000 0.0000 x2  4 Cd 2.86-2.88, 8 Pd 2.89
5 Pd 0.1494 0.5000 0.4277 x4  1 As 2.53, 1 Bi 2.79
6 Pd 0.2044 0.2499 0.8536 x8  2 As 2.48

Values from the calculation:
Its volume is 19.29 Å³/atom. For the formation energy from the elements, the calculation gives -0.283 eV per atom.